1.
Compound: LiIn3Ag
Source: Alexandria
Functional: PBE
Structure: optimized geometry

Unit cell a=5.3686 b=5.3686 c=5.3686 alpha=90.00 beta=90.00 gamma=90.00
Last column: nearest neighbours and their distance in Å.
Positions (direct):
Li1 0.0000 0.0000 0.0000  12 In 3.80
In1 0.0000 0.5000 0.5000  2 Ag 2.68
In2 0.5000 0.0000 0.5000  2 Ag 2.68
In3 0.5000 0.5000 0.0000  2 Ag 2.68
Ag1 0.5000 0.5000 0.5000  6 In 2.68

Properties
E_form, kJ/mol of formula units: 110
Offset from the most stable computed form, eV per formula unit: 1.81
Total DFT energy (no corrections), hartree per atom: -0.0870



2.
Compound: CaDyCu2
Source: Alexandria
Functional: PBE
Structure: optimized geometry

Unit cell a=4.9375 b=4.9375 c=4.9375 alpha=60.00 beta=60.00 gamma=60.00
Last column: nearest neighbours and their distance in Å.
Positions (direct):
Ca1 0.0000 0.0000 0.0000  8 Cu 3.02
Dy1 0.5000 0.5000 0.5000  8 Cu 3.02
Cu1 0.2500 0.2500 0.2500  4 Dy 3.02, 4 Ca 3.02
Cu2 0.7500 0.7500 0.7500  4 Ca 3.02, 4 Dy 3.02

Properties
E_form, kJ/mol of formula units: -52
Offset from the most stable computed form, eV per formula unit: 0.15
Total DFT energy (no corrections), hartree per atom: -0.1409



3.
Compound: LaErLuSc
Source: Alexandria
Functional: PBE
Structure: optimized geometry

Unit cell a=5.5646 b=5.5646 c=5.5646 alpha=60.00 beta=60.00 gamma=60.00
Last column: nearest neighbours and their distance in Å.
Positions (direct):
La1 0.0000 0.0000 0.0000  4 Lu 3.41, 4 Sc 3.41
Er1 0.5000 0.5000 0.5000  4 Sc 3.41, 4 Lu 3.41
Lu1 0.7500 0.7500 0.7500  4 Er 3.41, 4 La 3.41
Sc1 0.2500 0.2500 0.2500  4 Er 3.41, 4 La 3.41

Properties
E_form, kJ/mol of formula units: 33
Total DFT energy (no corrections), hartree per atom: -0.1837



4.
Compound: Y3MgN
Source: Alexandria
Functional: PBE
Structure: optimized geometry

Unit cell a=8.8676 b=6.2801 c=9.3893 alpha=90.00 beta=113.92 gamma=90.00
Last column: nearest neighbours and their distance in Å.
Positions (direct):
Y1 0.0617 0.0718 0.3553  3 N 2.49-2.69
Y2 0.0617 0.4282 0.8553  3 N 2.49-2.69
Y3 0.1878 0.5775 0.5464  2 N 2.38-2.41
Y4 0.1878 0.9225 0.0464  2 N 2.38-2.41
Y5 0.3296 0.1191 0.7473  1 N 2.32
Y6 0.3296 0.3809 0.2473  1 N 2.32
Y7 0.6704 0.6191 0.7527  1 N 2.32
Y8 0.6704 0.8809 0.2527  1 N 2.32
Y9 0.8122 0.0775 0.9536  2 N 2.38-2.41
Y10 0.8122 0.4225 0.4536  2 N 2.38-2.41
Y11 0.9383 0.5718 0.1447  3 N 2.49-2.69
Y12 0.9383 0.9282 0.6447  3 N 2.49-2.69
Mg1 0.4177 0.6721 0.9156  1 Mg 2.73
Mg2 0.4177 0.8279 0.4156  1 Mg 2.73
Mg3 0.5823 0.1721 0.5844  1 Mg 2.73
Mg4 0.5823 0.3279 0.0844  1 Mg 2.73
N1 0.0705 0.2450 0.0965  5 Y 2.32-2.51
N2 0.0705 0.2550 0.5965  5 Y 2.32-2.51
N3 0.9295 0.7450 0.4035  5 Y 2.32-2.51
N4 0.9295 0.7550 0.9035  5 Y 2.32-2.51

Properties
Offset from the most stable computed form, eV per formula unit: 0.84
Total DFT energy (no corrections), hartree per atom: -0.2358



5.
Compound: ZnPRu2
Source: Alexandria
Functional: PBE
Structure: optimized geometry

Unit cell a=3.0024 b=3.9351 c=4.7149 alpha=90.00 beta=90.00 gamma=90.00
Last column: nearest neighbours and their distance in Å.
Positions (direct):
Zn1 0.0000 0.0000 0.0000  4 Ru 2.47
P1 0.5000 0.0000 0.5000  4 Ru 2.47
Ru1 0.0000 0.5000 0.5000  4 P 2.47
Ru2 0.5000 0.5000 0.0000  4 Zn 2.47

Properties
E_form, kJ/mol of formula units: 75
Offset from the most stable computed form, eV per formula unit: 1.80
Total DFT energy (no corrections), hartree per atom: -0.2247



6.
Compound: TmCdCoAg
Source: Alexandria
Functional: PBE
Structure: optimized geometry

Unit cell a=4.7336 b=4.7336 c=4.7336 alpha=60.00 beta=60.00 gamma=60.00
Last column: nearest neighbours and their distance in Å.
Positions (direct):
Tm1 0.0000 0.0000 0.0000  4 Co 2.90, 4 Ag 2.90
Cd1 0.5000 0.5000 0.5000  4 Co 2.90, 4 Ag 2.90
Co1 0.7500 0.7500 0.7500  4 Cd 2.90, 4 Tm 2.90
Ag1 0.2500 0.2500 0.2500  4 Cd 2.90, 4 Tm 2.90

Properties
E_form, kJ/mol of formula units: -18
Total DFT energy (no corrections), hartree per atom: -0.1426